Entry 1:
## Nd8SmY2 (GGA-PBE)

Data for an optimized crystal structure of Nd8SmY2.

Cell lengths 9.556, 9.556, 6.048 Å; angles 105.80, 105.80, 122.28 degrees
Atoms (fractional coordinates):
Nd (0.099, 0.337, 0.684)
Nd (0.205, 0.795, 0.000)
Nd (0.337, 0.099, 0.684)
Nd (0.425, 0.425, 0.204)
Nd (0.575, 0.575, 0.796)
Nd (0.663, 0.901, 0.316)
Nd (0.795, 0.205, 0.000)
Nd (0.901, 0.663, 0.316)
Sm (0.000, 0.000, 0.000)
Y (0.310, 0.690, 0.500)
Y (0.690, 0.310, 0.500)

Results
**Magnetic moment**: 0.0 Bohr magnetons per cell

***

Entry 2:
## Nd2Sm5Y4 (GGA-PBE)

Data for an optimized crystal structure of Nd2Sm5Y4.

Cell lengths 12.795, 12.795, 12.795 Å; angles 164.05, 137.96, 45.24 degrees
Atoms (fractional coordinates):
Nd (0.233, 0.233, 0.000)
Nd (0.767, 0.767, 0.000)
Sm (0.160, 0.356, 0.803)
Sm (0.447, 0.644, 0.803)
Sm (0.500, 0.000, 0.500)
Sm (0.553, 0.356, 0.197)
Sm (0.840, 0.644, 0.197)
Y (0.098, 0.098, 0.000)
Y (0.188, 0.500, 0.688)
Y (0.812, 0.500, 0.312)
Y (0.902, 0.902, 0.000)

Results
**Magnetic moment**: 0.0 Bohr magnetons per cell

***

Entry 3:
## Nd3SmY3 (GGA-PBE)

Data for an optimized crystal structure of Nd3SmY3.

Cell lengths 6.640, 6.640, 6.640 Å; angles 107.66, 107.66, 107.66 degrees
Atoms (fractional coordinates):
Nd (0.187, 0.187, 0.626)
Nd (0.187, 0.626, 0.187)
Nd (0.626, 0.187, 0.187)
Sm (0.151, 0.151, 0.151)
Y (0.043, 0.677, 0.677)
Y (0.677, 0.043, 0.677)
Y (0.677, 0.677, 0.043)

Results
**Magnetic moment**: 0.0 Bohr magnetons per cell

***

Entry 4:
## Nd5SmY2 (GGA-PBE)

Data for an optimized crystal structure of Nd5SmY2.

Cell lengths 7.293, 14.583, 5.155 Å; angles 90.00, 90.00, 90.00 degrees
Atoms (fractional coordinates):
Nd (0.000, 0.000, 0.000)
Nd (0.000, 0.250, 0.000)
Nd (0.000, 0.750, 0.000)
Nd (0.250, 0.125, 0.500)
Nd (0.250, 0.625, 0.500)
Nd (0.500, 0.250, 0.000)
Nd (0.500, 0.500, 0.000)
Nd (0.500, 0.750, 0.000)
Nd (0.750, 0.375, 0.500)
Nd (0.750, 0.875, 0.500)
Sm (0.000, 0.500, 0.000)
Sm (0.500, 0.000, 0.000)
Y (0.249, 0.375, 0.500)
Y (0.251, 0.875, 0.500)
Y (0.749, 0.125, 0.500)
Y (0.751, 0.625, 0.500)

Results
**Magnetic moment**: 0.0 Bohr magnetons per cell

***

Entry 5:
## NdSm4Y (GGA-PBE)

Data for an optimized crystal structure of NdSm4Y.

Cell lengths 6.679, 6.679, 6.679 Å; angles 60.00, 60.00, 60.00 degrees
Atoms (fractional coordinates):
Nd (0.000, 0.000, 0.000)
Sm (0.127, 0.624, 0.624)
Sm (0.624, 0.127, 0.624)
Sm (0.624, 0.624, 0.127)
Sm (0.624, 0.624, 0.624)
Y (0.250, 0.250, 0.250)

Results
**Magnetic moment**: 0.0 Bohr magnetons per cell

***

Entry 6:
## Nd3Sm4Y5 (GGA-PBE)

Data for an optimized crystal structure of Nd3Sm4Y5.

Cell lengths 8.655, 8.655, 9.389 Å; angles 114.46, 114.46, 40.57 degrees
Atoms (fractional coordinates):
Nd (0.000, 0.000, 0.000)
Nd (0.290, 0.290, 0.768)
Nd (0.710, 0.710, 0.232)
Sm (0.289, 0.289, 0.119)
Sm (0.417, 0.417, 0.555)
Sm (0.583, 0.583, 0.445)
Sm (0.711, 0.711, 0.881)
Y (0.073, 0.073, 0.700)
Y (0.172, 0.172, 0.387)
Y (0.500, 0.500, 0.000)
Y (0.828, 0.828, 0.613)
Y (0.927, 0.927, 0.300)

Results
**Magnetic moment**: 0.2 Bohr magnetons per cell

***

Number 1: ΔE to the lowest computed polymorph 0.119 eV per atom, formation energy from the elements 0.13 eV per atom. Number 2: ΔE to the lowest computed polymorph 0.073 eV per atom, formation energy from the elements 0.20 eV per atom. Number 3: ΔE to the lowest computed polymorph 0.040 eV per atom, formation energy from the elements 0.25 eV per atom. Number 4: ΔE to the lowest computed polymorph 0.000 eV per atom, formation energy from the elements 0.01 eV per atom. Number 5: ΔE to the lowest computed polymorph 0.231 eV per atom, formation energy from the elements 0.25 eV per atom. Number 6: ΔE to the lowest computed polymorph 0.205 eV per atom, formation energy from the elements 0.22 eV per atom.